# 1
DFT (PBE) results for a relaxed structure of ScTlCuPd.

The calculation puts the mass density at 9.74 g/cm³. For the formation enthalpy at 0 K, the calculation gives -361 meV per atom. The calculation puts the total energy at -4.86 eV/atom.

The space group is F-43m (No. 216) and the conventional cell measures 6.588, 6.588 and 6.588 Å, with angles of 90.00, 90.00 and 90.00 degrees. The distinct sites, in fractional coordinates, are Sc at (0.000, 0.000, 0.000), Tl at (0.000, 0.000, 0.500), Cu at (0.250, 0.250, 0.250) and Pd at (0.250, 0.250, 0.750).

# 2
DFT (PBE) results for a relaxed structure of TmScCuPd.

The calculation puts the mass density at 8.32 g/cm³. For the formation enthalpy at 0 K, the calculation gives -586 meV per atom. The calculation puts the total energy at -5.61 eV/atom.

The space group is F-43m (No. 216) and the conventional cell measures 6.742, 6.742 and 6.742 Å, with angles of 90.00, 90.00 and 90.00 degrees. The distinct sites, in fractional coordinates, are Tm at (0.000, 0.000, 0.000), Sc at (0.000, 0.000, 0.500), Cu at (0.250, 0.250, 0.750) and Pd at (0.250, 0.250, 0.250).

# 3
DFT (PBE) results for a relaxed structure of ScZnCu2Pd.

The calculation puts the mass density at 6.26 g/cm³. For the formation enthalpy at 0 K, the calculation gives 194 meV per atom. The calculation puts the total energy at -4.00 eV/atom.

The space group is P4/mmm (No. 123) and the conventional cell measures 4.406, 4.406 and 4.702 Å, with angles of 90.00, 90.00 and 90.00 degrees. The distinct sites, in fractional coordinates, are Sc at (0.000, 0.000, 0.000), Zn at (0.500, 0.500, 0.500), Cu at (0.000, 0.500, 0.500) and Pd at (0.500, 0.500, 0.000).

# 4
DFT (PBE) results for a relaxed structure of CuPd3Se4.

The calculation puts the mass density at 7.03 g/cm³. The calculation puts the raw formation energy at -0.166 eV/atom. The calculation puts the total energy at -4.37 eV/atom.

The space group is Pmn2_1 (No. 31) and the conventional cell measures 7.417, 6.756 and 6.584 Å, with angles of 90.00, 90.00 and 90.00 degrees. The distinct sites, in fractional coordinates, are Cu at (0.000, 0.102, 0.000), Pd at (0.000, 0.830, 0.633), Pd at (0.198, 0.705, 0.998), Se at (0.000, 0.203, 0.655), Se at (0.000, 0.854, 0.253) and Se at (0.210, 0.358, 0.147).

# 5
DFT (PBE) results for a relaxed structure of CuPd6Se2.

The calculation puts the mass density at 10.12 g/cm³. The calculation puts the raw formation energy at -0.119 eV/atom. The calculation puts the total energy at -4.81 eV/atom.

The space group is Fmmm (No. 69) and the conventional cell measures 4.346, 9.557 and 13.593 Å, with angles of 90.00, 90.00 and 90.00 degrees. The distinct sites, in fractional coordinates, are Cu at (0.000, 0.000, 0.000), Pd at (0.000, 0.155, 0.165), Pd at (0.000, 0.157, 0.500) and Se at (0.000, 0.000, 0.348).

# 6
DFT (PBE) results for a relaxed structure of Cu2PdSe4.

The calculation puts the mass density at 5.60 g/cm³. The calculation puts the raw formation energy at 0.242 eV/atom. The calculation puts the total energy at -3.66 eV/atom.

The space group is I4/mmm (No. 139) and the conventional cell measures 4.783, 4.783 and 14.238 Å, with angles of 90.00, 90.00 and 90.00 degrees. The distinct sites, in fractional coordinates, are Cu at (0.000, 0.000, 0.086), Pd at (0.000, 0.000, 0.500), Se at (0.000, 0.000, 0.246) and Se at (0.000, 0.500, 0.000).

# 7
DFT (PBE) results for a relaxed structure of Cu5Pd6Se.

The calculation puts the mass density at 10.09 g/cm³. The calculation puts the raw formation energy at -0.125 eV/atom. The calculation puts the total energy at -4.72 eV/atom.

The space group is Immm (No. 71) and the conventional cell measures 4.241, 6.320 and 12.717 Å, with angles of 90.00, 90.00 and 90.00 degrees. The distinct sites, in fractional coordinates, are Cu at (0.000, 0.000, 0.000), Cu at (0.000, 0.000, 0.319), Cu at (0.000, 0.500, 0.334), Pd at (0.000, 0.246, 0.500), Pd at (0.000, 0.255, 0.164) and Se at (0.000, 0.500, 0.000).

# 8
DFT (PBE) results for a relaxed structure of CuPdSe2.

The calculation puts the mass density at 5.92 g/cm³. The calculation puts the raw formation energy at -0.089 eV/atom. The calculation puts the total energy at -4.15 eV/atom.

The space group is R-3m (No. 166, hexagonal axes) and the conventional cell measures 3.8598, 3.8598 and 21.3763 Å, with angles of 90.00, 90.00 and 120.00 degrees. The distinct sites, in fractional coordinates, are Cu at (0.0000, 0.0000, 0.0000), Pd at (0.0000, 0.0000, 0.5000) and Se at (0.0000, 0.0000, 0.1064).

# 9
DFT (PBE) results for a relaxed structure of CuPdSe2.

The calculation puts the mass density at 6.18 g/cm³. The calculation puts the raw formation energy at -0.112 eV/atom. The calculation puts the total energy at -4.18 eV/atom.

The space group is I-42d (No. 122) and the conventional cell measures 5.572, 5.572 and 11.342 Å, with angles of 90.00, 90.00 and 90.00 degrees. The distinct sites, in fractional coordinates, are Cu at (0.000, 0.000, 0.000), Pd at (0.000, 0.000, 0.500) and Se at (0.238, 0.250, 0.125).

# 10
DFT (PBE) results for a relaxed structure of Cu2Pd2Se.

The calculation puts the mass density at 9.00 g/cm³. The calculation puts the raw formation energy at 0.054 eV/atom. The calculation puts the total energy at -4.36 eV/atom.

The space group is P4/mbm (No. 127) and the conventional cell measures 7.305, 7.305 and 2.898 Å, with angles of 90.00, 90.00 and 90.00 degrees. The distinct sites, in fractional coordinates, are Cu at (0.124, 0.376, 0.000), Pd at (0.170, 0.670, 0.500) and Se at (0.000, 0.000, 0.500).

# 11
DFT (PBE) results for a relaxed structure of Cu2PdSe4.

The calculation puts the mass density at 6.41 g/cm³. The calculation puts the raw formation energy at -0.155 eV/atom. The calculation puts the total energy at -4.06 eV/atom.

The space group is Imma (No. 74) and the conventional cell measures 7.166, 7.480 and 10.627 Å, with angles of 90.00, 90.00 and 90.00 degrees. The distinct sites, in fractional coordinates, are Cu at (0.000, 0.250, 0.139), Cu at (0.250, 0.250, 0.750), Pd at (0.000, 0.000, 0.500), Se at (0.000, 0.019, 0.738) and Se at (0.240, 0.250, 0.508).

# 12
DFT (PBE) results for a relaxed structure of CuPdSe2.

The calculation puts the mass density at 6.44 g/cm³. The calculation puts the raw formation energy at -0.148 eV/atom. The calculation puts the total energy at -4.21 eV/atom.

The space group is P1 (No. 1) and the conventional cell measures 5.080, 5.776 and 6.227 Å, with angles of 85.56, 69.10 and 82.64 degrees. The distinct sites, in fractional coordinates, are Cu at (0.000, 0.000, 0.000), Cu at (0.453, 0.198, 0.036), Pd at (0.227, 0.098, 0.518), Pd at (0.727, 0.598, 0.018), Se at (0.209, 0.395, 0.796), Se at (0.245, 0.802, 0.240), Se at (0.681, 0.267, 0.302) and Se at (0.773, 0.930, 0.734).

# 13
DFT (PBE) results for a relaxed structure of CuPd6Se8.

The calculation puts the mass density at 7.07 g/cm³. The calculation puts the raw formation energy at -0.189 eV/atom. The calculation puts the total energy at -4.40 eV/atom.

The space group is R-3 (No. 148, hexagonal axes) and the conventional cell measures 9.9827, 9.9827 and 10.8829 Å, with angles of 90.00, 90.00 and 120.00 degrees. The distinct sites, in fractional coordinates, are Cu at (0.0000, 0.0000, 0.0000), Pd at (0.0307, 0.1943, 0.3795), Se at (0.0000, 0.0000, 0.2153) and Se at (0.0148, 0.4086, 0.2559).

# 14
DFT (PBE) results for a relaxed structure of Cu2PdSe.

The calculation puts the mass density at 8.91 g/cm³. The calculation puts the raw formation energy at 0.000 eV/atom. The calculation puts the total energy at -4.22 eV/atom.

The space group is P4/mmm (No. 123) and the conventional cell measures 3.877, 3.877 and 3.872 Å, with angles of 90.00, 90.00 and 90.00 degrees. The distinct sites, in fractional coordinates, are Cu at (0.000, 0.500, 0.000), Pd at (0.000, 0.000, 0.500) and Se at (0.500, 0.500, 0.500).

# 15
DFT (PBE) results for a relaxed structure of CuPd6Se2.

The calculation puts the mass density at 9.59 g/cm³. The calculation puts the raw formation energy at -0.104 eV/atom. The calculation puts the total energy at -4.80 eV/atom.

The space group is P2_1/c (No. 14) and the conventional cell measures 6.816, 5.671 and 9.402 Å, with angles of 90.00, 124.99 and 90.00 degrees. The distinct sites, in fractional coordinates, are Cu at (0.000, 0.000, 0.000), Pd at (0.034, 0.162, 0.724), Pd at (0.297, 0.142, 0.560), Pd at (0.418, 0.662, 0.564) and Se at (0.286, 0.679, 0.248).

# 16
DFT (PBE) results for a relaxed structure of Cu2PdSe.

The calculation puts the mass density at 8.26 g/cm³. The calculation puts the raw formation energy at 0.055 eV/atom. The calculation puts the total energy at -4.16 eV/atom.

The space group is I-42d (No. 122) and the conventional cell measures 7.017, 7.017 and 5.100 Å, with angles of 90.00, 90.00 and 90.00 degrees. The distinct sites, in fractional coordinates, are Cu at (0.228, 0.250, 0.125), Pd at (0.000, 0.000, 0.500) and Se at (0.000, 0.000, 0.000).

# 17
DFT (PBE) results for a relaxed structure of CuPd14Se.

The calculation puts the mass density at 10.97 g/cm³. The calculation puts the raw formation energy at -0.016 eV/atom. The calculation puts the total energy at -5.03 eV/atom.

The space group is Amm2 (No. 38) and the conventional cell measures 9.139, 5.674 and 9.533 Å, with angles of 90.00, 90.00 and 90.00 degrees. The distinct sites, in fractional coordinates, are Cu at (0.000, 0.000, 0.000), Pd at (0.000, 0.244, 0.261), Pd at (0.240, 0.248, 0.564), Pd at (0.250, 0.000, 0.818), Pd at (0.256, 0.000, 0.312), Pd at (0.500, 0.000, 0.135), Pd at (0.500, 0.000, 0.639), Pd at (0.500, 0.250, 0.389) and Se at (0.000, 0.000, 0.535).

# 18
DFT (PBE) results for a relaxed structure of CuPd3Se6.

The calculation puts the mass density at 6.94 g/cm³. The calculation puts the raw formation energy at -0.210 eV/atom. The calculation puts the total energy at -4.27 eV/atom.

The space group is R3 (No. 146, hexagonal axes) and the conventional cell measures 6.5141, 6.5141 and 16.7347 Å, with angles of 90.00, 90.00 and 120.00 degrees. The distinct sites, in fractional coordinates, are Cu at (0.0000, 0.0000, 0.0000), Pd at (0.0000, 0.0000, 0.2005), Pd at (0.0000, 0.0000, 0.5069), Pd at (0.0000, 0.0000, 0.7035), Se at (0.0005, 0.3058, 0.6039) and Se at (0.0074, 0.7014, 0.1011).

# 19
DFT (PBE) results for a relaxed structure of Cu2Pd8Se.

The calculation puts the mass density at 10.28 g/cm³. The calculation puts the raw formation energy at -0.059 eV/atom. The calculation puts the total energy at -4.90 eV/atom.

The space group is C2/m (No. 12) and the conventional cell measures 14.503, 4.492 and 5.671 Å, with angles of 90.00, 112.40 and 90.00 degrees. The distinct sites, in fractional coordinates, are Cu at (0.183, 0.000, 0.182), Pd at (0.003, 0.000, 0.244), Pd at (0.141, 0.500, 0.908), Pd at (0.147, 0.500, 0.393), Pd at (0.183, 0.000, 0.692) and Se at (0.000, 0.500, 0.500).

# 20
DFT (PBE) results for a relaxed structure of CuPd5Se8.

The calculation puts the mass density at 6.82 g/cm³. The calculation puts the raw formation energy at -0.273 eV/atom. The calculation puts the total energy at -4.41 eV/atom.

The space group is F-43m (No. 216) and the conventional cell measures 10.612, 10.612 and 10.612 Å, with angles of 90.00, 90.00 and 90.00 degrees. The distinct sites, in fractional coordinates, are Cu at (0.000, 0.000, 0.000), Pd at (0.125, 0.125, 0.375), Pd at (0.250, 0.250, 0.750), Se at (0.114, 0.114, 0.614) and Se at (0.133, 0.133, 0.133).